No. 1
# PBE AlTlCr2, relaxed
data_AlTlCr2
_chemical_formula_sum 'Al2 Tl2 Cr4'
_symmetry_space_group_name_H-M 'I 4/m m m'
_symmetry_Int_Tables_number 139
_symmetry_space_group_name_Hall '-I 4 2'
_cell_length_a 4.251
_cell_length_b 4.251
_cell_length_c 7.633
_cell_angle_alpha 90.00
_cell_angle_beta 90.00
_cell_angle_gamma 90.00
loop_
_atom_site_label
_atom_site_fract_x
_atom_site_fract_y
_atom_site_fract_z
Al1 0.000 0.000 0.000
Tl1 0.000 0.000 0.500
Cr1 0.000 0.500 0.250
# * uncorrected energy: -46.96 eV per cell

***

No. 2
# PBE AlTl2Cr2, relaxed
data_AlTl2Cr2
_chemical_formula_sum 'Al2 Tl4 Cr4'
_symmetry_space_group_name_H-M 'I 4/m m m'
_symmetry_Int_Tables_number 139
_symmetry_space_group_name_Hall '-I 4 2'
_cell_length_a 4.289
_cell_length_b 4.289
_cell_length_c 11.294
_cell_angle_alpha 90.00
_cell_angle_beta 90.00
_cell_angle_gamma 90.00
loop_
_atom_site_label
_atom_site_fract_x
_atom_site_fract_y
_atom_site_fract_z
Al1 0.000 0.000 0.000
Tl1 0.000 0.500 0.250
Cr1 0.000 0.000 0.421
# * ΔE to the lowest computed polymorph: 0.312 eV per atom
# * uncorrected energy: -46.77 eV per cell

***

No. 3
# PBE AlTlCr3, relaxed
data_AlTlCr3
_chemical_formula_sum 'Al1 Tl1 Cr3'
_symmetry_space_group_name_H-M 'P m -3 m'
_symmetry_Int_Tables_number 221
_symmetry_space_group_name_Hall '-P 4 2 3'
_cell_length_a 4.635
_cell_length_b 4.635
_cell_length_c 4.635
_cell_angle_alpha 90.00
_cell_angle_beta 90.00
_cell_angle_gamma 90.00
loop_
_atom_site_label
_atom_site_fract_x
_atom_site_fract_y
_atom_site_fract_z
Al1 0.000 0.000 0.000
Tl1 0.500 0.500 0.500
Cr1 0.000 0.000 0.500
# * ΔE to the lowest computed polymorph: 0.000 eV per atom
# * uncorrected energy: -29.00 eV per cell

***

No. 4
# PBE AlTlCr, relaxed
data_AlTlCr
_chemical_formula_sum 'Al4 Tl4 Cr4'
_symmetry_space_group_name_H-M 'F -4 3 m'
_symmetry_Int_Tables_number 216
_symmetry_space_group_name_Hall 'F -4 2 3'
_cell_length_a 6.351
_cell_length_b 6.351
_cell_length_c 6.351
_cell_angle_alpha 90.00
_cell_angle_beta 90.00
_cell_angle_gamma 90.00
loop_
_atom_site_label
_atom_site_fract_x
_atom_site_fract_y
_atom_site_fract_z
Al1 0.000 0.000 0.000
Tl1 0.000 0.000 0.500
Cr1 0.250 0.250 0.250
# * ΔE to the lowest computed polymorph: 0.166 eV per atom
# * uncorrected energy: -56.53 eV per cell

***

No. 5
# PBE AlTlCr2, relaxed
data_AlTlCr2
_chemical_formula_sum 'Al2 Tl2 Cr4'
_symmetry_space_group_name_H-M 'C 1 2/m 1'
_symmetry_Int_Tables_number 12
_symmetry_space_group_name_Hall '-C 2y'
_cell_length_a 8.784
_cell_length_b 3.038
_cell_length_c 5.432
_cell_angle_alpha 90.00
_cell_angle_beta 100.58
_cell_angle_gamma 90.00
loop_
_atom_site_label
_atom_site_fract_x
_atom_site_fract_y
_atom_site_fract_z
Al1 0.000 0.000 0.000
Tl1 0.000 0.500 0.500
Cr1 0.243 0.500 0.218
# * uncorrected energy: -46.10 eV per cell

***

No. 6
# PBE AlTl3Cr, relaxed
data_AlTl3Cr
_chemical_formula_sum 'Al1 Tl3 Cr1'
_symmetry_space_group_name_H-M 'P m -3 m'
_symmetry_Int_Tables_number 221
_symmetry_space_group_name_Hall '-P 4 2 3'
_cell_length_a 5.383
_cell_length_b 5.383
_cell_length_c 5.383
_cell_angle_alpha 90.00
_cell_angle_beta 90.00
_cell_angle_gamma 90.00
loop_
_atom_site_label
_atom_site_fract_x
_atom_site_fract_y
_atom_site_fract_z
Al1 0.000 0.000 0.000
Tl1 0.000 0.000 0.500
Cr1 0.500 0.500 0.500
# * ΔE to the lowest computed polymorph: 0.095 eV per atom
# * uncorrected energy: -16.69 eV per cell

***

No. 7
# PBE AlTlCr, relaxed
data_AlTlCr
_chemical_formula_sum 'Al1 Tl1 Cr1'
_symmetry_space_group_name_H-M 'P 3 m 1'
_symmetry_Int_Tables_number 156
_symmetry_space_group_name_Hall 'P 3 -2"'
_cell_length_a 3.2300
_cell_length_b 3.2300
_cell_length_c 6.7604
_cell_angle_alpha 90.00
_cell_angle_beta 90.00
_cell_angle_gamma 120.00
loop_
_atom_site_label
_atom_site_fract_x
_atom_site_fract_y
_atom_site_fract_z
Al1 0.0000 0.0000 0.0000
Tl1 0.6667 0.3333 0.6341
Cr1 0.3333 0.6667 0.2875
# * ΔE to the lowest computed polymorph: 0.136 eV per atom
# * uncorrected energy: -14.22 eV per cell

***

No. 8
# PBE AlTlCr2, relaxed
data_AlTlCr2
_chemical_formula_sum 'Al2 Tl2 Cr4'
_symmetry_space_group_name_H-M 'C m m m'
_symmetry_Int_Tables_number 65
_symmetry_space_group_name_Hall '-C 2 2'
_cell_length_a 5.993
_cell_length_b 7.568
_cell_length_c 3.049
_cell_angle_alpha 90.00
_cell_angle_beta 90.00
_cell_angle_gamma 90.00
loop_
_atom_site_label
_atom_site_fract_x
_atom_site_fract_y
_atom_site_fract_z
Al1 0.000 0.000 0.000
Tl1 0.000 0.500 0.000
Cr1 0.250 0.250 0.500
# * uncorrected energy: -46.85 eV per cell

***

No. 9
# PBE Al2TlCr2, relaxed
data_Al2TlCr2
_chemical_formula_sum 'Al4 Tl2 Cr4'
_symmetry_space_group_name_H-M 'P 4/m b m'
_symmetry_Int_Tables_number 127
_symmetry_space_group_name_Hall '-P 4 2ab'
_cell_length_a 7.233
_cell_length_b 7.233
_cell_length_c 3.075
_cell_angle_alpha 90.00
_cell_angle_beta 90.00
_cell_angle_gamma 90.00
loop_
_atom_site_label
_atom_site_fract_x
_atom_site_fract_y
_atom_site_fract_z
Al1 0.181 0.319 0.000
Tl1 0.000 0.000 0.500
Cr1 0.103 0.603 0.500
# * uncorrected energy: -55.18 eV per cell

***

No. 10
# PBE AlTlCr, relaxed
data_AlTlCr
_chemical_formula_sum 'Al2 Tl2 Cr2'
_symmetry_space_group_name_H-M 'C 1 m 1'
_symmetry_Int_Tables_number 8
_symmetry_space_group_name_Hall 'C -2y'
_cell_length_a 12.291
_cell_length_b 3.053
_cell_length_c 3.088
_cell_angle_alpha 90.00
_cell_angle_beta 91.37
_cell_angle_gamma 90.00
loop_
_atom_site_label
_atom_site_fract_x
_atom_site_fract_y
_atom_site_fract_z
Al1 0.000 0.000 0.000
Tl1 0.288 0.000 0.024
Cr1 0.120 0.500 0.510
# * ΔE to the lowest computed polymorph: 0.000 eV per atom
# * uncorrected energy: -29.26 eV per cell

***

No. 11
# PBE AlTlCr2, relaxed
data_AlTlCr2
_chemical_formula_sum 'Al3 Tl3 Cr6'
_symmetry_space_group_name_H-M 'R -3 m'
_symmetry_Int_Tables_number 166
_symmetry_space_group_name_Hall '-R 3 2"'
_cell_length_a 3.0614
_cell_length_b 3.0614
_cell_length_c 26.1533
_cell_angle_alpha 90.00
_cell_angle_beta 90.00
_cell_angle_gamma 120.00
loop_
_atom_site_label
_atom_site_fract_x
_atom_site_fract_y
_atom_site_fract_z
Al1 0.0000 0.0000 0.0000
Tl1 0.0000 0.0000 0.5000
Cr1 0.0000 0.0000 0.2572
# * uncorrected energy: -69.41 eV per cell

***

No. 12
# PBE AlTlCr2, relaxed
data_AlTlCr2
_chemical_formula_sum 'Al1 Tl1 Cr2'
_symmetry_space_group_name_H-M 'P 4/m m m'
_symmetry_Int_Tables_number 123
_symmetry_space_group_name_Hall '-P 4 2'
_cell_length_a 4.260
_cell_length_b 4.260
_cell_length_c 3.806
_cell_angle_alpha 90.00
_cell_angle_beta 90.00
_cell_angle_gamma 90.00
loop_
_atom_site_label
_atom_site_fract_x
_atom_site_fract_y
_atom_site_fract_z
Al1 0.000 0.000 0.000
Tl1 0.500 0.500 0.000
Cr1 0.000 0.500 0.500
# * uncorrected energy: -23.46 eV per cell

***

Total magnetic moment (computed, μB per formula unit): 6.7, 0.0, 9.2, 3.3, 6.2, 5.0, 3.8, 6.6, 0.0, 2.9, 6.0, 6.7
Formation energy from the elements (computed, eV/atom): 0.47, 0.87, 1.20, 0.53, 0.58, 0.75, 0.50, 0.48, 0.30, 0.37, 0.55, 0.47
Calculated density (computed, g/cm3): 8.074, 8.630, 6.460, 7.346, 7.816, 7.369, 7.703, 8.054, 7.479, 8.126, 7.870, 8.063